Density functional theory data (PBE) for crystalline VAsN3 at its relaxed geometry.

Structure (CIF):
```
data_VAsN3
_space_group_name_H-M_alt 'P m -3 m'
_space_group_IT_number 221
_space_group_name_Hall '-P 4 2 3'
_cell_length_a 3.7171
_cell_length_b 3.7171
_cell_length_c 3.7171
_cell_angle_alpha 90.00
_cell_angle_beta 90.00
_cell_angle_gamma 90.00
loop_
_atom_site_label
_atom_site_type_symbol
_atom_site_fract_x
_atom_site_fract_y
_atom_site_fract_z
V1 V 0.0000 0.0000 0.0000
As1 As 0.5000 0.5000 0.5000
N1 N 0.0000 0.5000 0.5000
```

Calculated values
For the uncorrected formation energy, the calculation gives 1.17 eV per atom. As for the magnetization: 0.250 μB per atom. The density of states at the Fermi level comes out at 0.730 states/eV per atom. The calculated total energy is -6.574 eV per atom.

***

Density functional theory data (PBE) for crystalline V2AsN at its relaxed geometry.

Structure (CIF):
```
data_V2AsN
_space_group_name_H-M_alt 'F m -3 m'
_space_group_IT_number 225
_space_group_name_Hall '-F 4 2 3'
_cell_length_a 5.7391
_cell_length_b 5.7391
_cell_length_c 5.7391
_cell_angle_alpha 90.00
_cell_angle_beta 90.00
_cell_angle_gamma 90.00
loop_
_atom_site_label
_atom_site_type_symbol
_atom_site_fract_x
_atom_site_fract_y
_atom_site_fract_z
V1 V 0.2500 0.2500 0.2500
As1 As 0.0000 0.0000 0.0000
N1 N 0.0000 0.0000 0.5000
```

Calculated values
For the uncorrected formation energy, the calculation gives 0.17 eV per atom. As for the magnetization: 0.000 μB per atom. The value obtained for the energy relative to the lowest polymorph listed for this composition is 0.8971 eV per atom. The density of states at the Fermi level comes out at 0.248 states/eV per atom. The calculated total energy is -7.629 eV per atom.

***

Density functional theory data (PBE) for crystalline VAsN2 at its relaxed geometry.

Structure (CIF):
```
data_VAsN2
_space_group_name_H-M_alt 'I -4 2 d'
_space_group_IT_number 122
_space_group_name_Hall 'I -4 2bw'
_cell_length_a 4.9393
_cell_length_b 4.9393
_cell_length_c 8.7782
_cell_angle_alpha 90.00
_cell_angle_beta 90.00
_cell_angle_gamma 90.00
loop_
_atom_site_label
_atom_site_type_symbol
_atom_site_fract_x
_atom_site_fract_y
_atom_site_fract_z
V1 V 0.0000 0.0000 0.0000
As1 As 0.0000 0.0000 0.5000
N1 N 0.1749 0.2500 0.1250
```

Calculated values
For the uncorrected formation energy, the calculation gives 0.13 eV per atom. As for the magnetization: 0.123 μB per atom. The density of states at the Fermi level comes out at 0.744 states/eV per atom. The calculated total energy is -7.479 eV per atom.

***

Density functional theory data (PBE) for crystalline V4AsN2 at its relaxed geometry.

Structure (CIF):
```
data_V4AsN2
_space_group_name_H-M_alt 'I 4/m m m'
_space_group_IT_number 139
_space_group_name_Hall '-I 4 2'
_cell_length_a 4.4026
_cell_length_b 4.4026
_cell_length_c 10.6666
_cell_angle_alpha 90.00
_cell_angle_beta 90.00
_cell_angle_gamma 90.00
loop_
_atom_site_label
_atom_site_type_symbol
_atom_site_fract_x
_atom_site_fract_y
_atom_site_fract_z
V1 V 0.0000 0.0000 0.2404
V2 V 0.0000 0.5000 0.0000
As1 As 0.0000 0.0000 0.0000
N1 N 0.0000 0.0000 0.4000
```

Calculated values
For the uncorrected formation energy, the calculation gives 0.68 eV per atom. As for the magnetization: 0.016 μB per atom. The density of states at the Fermi level comes out at 1.255 states/eV per atom. The calculated total energy is -7.575 eV per atom.

***

Density functional theory data (PBE) for crystalline V7As2N2 at its relaxed geometry.

Structure (CIF):
```
data_V7As2N2
_space_group_name_H-M_alt 'C 1 2/m 1'
_space_group_IT_number 12
_space_group_name_Hall '-C 2y'
_cell_length_a 8.8306
_cell_length_b 6.5325
_cell_length_c 4.8728
_cell_angle_alpha 90.00
_cell_angle_beta 92.26
_cell_angle_gamma 90.00
loop_
_atom_site_label
_atom_site_type_symbol
_atom_site_fract_x
_atom_site_fract_y
_atom_site_fract_z
V1 V 0.0000 0.0000 0.0000
V2 V 0.0698 0.5000 0.7782
V3 V 0.2207 0.2922 0.2342
As1 As 0.0000 0.1969 0.5000
N1 N 0.2249 0.0000 0.0585
```

Calculated values
For the uncorrected formation energy, the calculation gives -0.43 eV per atom. As for the magnetization: 0.000 μB per atom. The density of states at the Fermi level comes out at 0.879 states/eV per atom. The calculated total energy is -8.596 eV per atom.

***

Density functional theory data (PBE) for crystalline V5As2N at its relaxed geometry.

Structure (CIF):
```
data_V5As2N
_space_group_name_H-M_alt 'C m c m'
_space_group_IT_number 63
_space_group_name_Hall '-C 2c 2'
_cell_length_a 4.0681
_cell_length_b 12.4061
_cell_length_c 10.0475
_cell_angle_alpha 90.00
_cell_angle_beta 90.00
_cell_angle_gamma 90.00
loop_
_atom_site_label
_atom_site_type_symbol
_atom_site_fract_x
_atom_site_fract_y
_atom_site_fract_z
V1 V 0.0000 0.0868 0.1281
V2 V 0.0000 0.2774 0.0648
V3 V 0.0000 0.2853 0.7500
As1 As 0.0000 0.1128 0.6114
N1 N 0.0000 0.2135 0.2500
```

Calculated values
For the uncorrected formation energy, the calculation gives -0.21 eV per atom. As for the magnetization: 0.000 μB per atom. The density of states at the Fermi level comes out at 0.728 states/eV per atom. The calculated total energy is -8.115 eV per atom.

***

Density functional theory data (PBE) for crystalline VAsN3 at its relaxed geometry.

Structure (CIF):
```
data_VAsN3
_space_group_name_H-M_alt 'P m -3 m'
_space_group_IT_number 221
_space_group_name_Hall '-P 4 2 3'
_cell_length_a 3.8285
_cell_length_b 3.8285
_cell_length_c 3.8285
_cell_angle_alpha 90.00
_cell_angle_beta 90.00
_cell_angle_gamma 90.00
loop_
_atom_site_label
_atom_site_type_symbol
_atom_site_fract_x
_atom_site_fract_y
_atom_site_fract_z
V1 V 0.0000 0.0000 0.0000
As1 As 0.5000 0.5000 0.5000
N1 N 0.0000 0.0000 0.5000
```

Calculated values
For the uncorrected formation energy, the calculation gives 0.82 eV per atom. As for the magnetization: 0.001 μB per atom. The density of states at the Fermi level comes out at 0.544 states/eV per atom. The calculated total energy is -6.927 eV per atom.

***

Density functional theory data (PBE) for crystalline V6AsN at its relaxed geometry.

Structure (CIF):
```
data_V6AsN
_space_group_name_H-M_alt 'P -1'
_space_group_IT_number 2
_space_group_name_Hall '-P 1'
_cell_length_a 5.0444
_cell_length_b 5.0486
_cell_length_c 5.5378
_cell_angle_alpha 89.79
_cell_angle_beta 66.94
_cell_angle_gamma 60.23
loop_
_atom_site_label
_atom_site_type_symbol
_atom_site_fract_x
_atom_site_fract_y
_atom_site_fract_z
V1 V 0.0536 0.0460 0.2362
V2 V 0.2743 0.2248 0.7741
V3 V 0.3229 0.4262 0.1840
As1 As 0.5000 0.5000 0.5000
N1 N 0.5000 0.0000 0.0000
```

Calculated values
For the uncorrected formation energy, the calculation gives -0.19 eV per atom. As for the magnetization: 0.000 μB per atom. The density of states at the Fermi level comes out at 0.746 states/eV per atom. The calculated total energy is -8.647 eV per atom.

***

Density functional theory data (PBE) for crystalline As3WN at its relaxed geometry.

Structure (CIF):
```
data_As3WN
_space_group_name_H-M_alt 'P m -3 m'
_space_group_IT_number 221
_space_group_name_Hall '-P 4 2 3'
_cell_length_a 4.2383
_cell_length_b 4.2383
_cell_length_c 4.2383
_cell_angle_alpha 90.00
_cell_angle_beta 90.00
_cell_angle_gamma 90.00
loop_
_atom_site_label
_atom_site_type_symbol
_atom_site_fract_x
_atom_site_fract_y
_atom_site_fract_z
As1 As 0.0000 0.0000 0.5000
W1 W 0.5000 0.5000 0.5000
N1 N 0.0000 0.0000 0.0000
```

Calculated values
For the uncorrected formation energy, the calculation gives 1.01 eV per atom. As for the magnetization: 0.229 μB per atom. The value obtained for the energy relative to the lowest polymorph listed for this composition is 0.0000 eV per atom. The density of states at the Fermi level comes out at 0.579 states/eV per atom. The calculated total energy is -6.035 eV per atom.

***

Density functional theory data (PBE) for crystalline AsW2N at its relaxed geometry.

Structure (CIF):
```
data_AsW2N
_space_group_name_H-M_alt 'F m -3 m'
_space_group_IT_number 225
_space_group_name_Hall '-F 4 2 3'
_cell_length_a 5.9544
_cell_length_b 5.9544
_cell_length_c 5.9544
_cell_angle_alpha 90.00
_cell_angle_beta 90.00
_cell_angle_gamma 90.00
loop_
_atom_site_label
_atom_site_type_symbol
_atom_site_fract_x
_atom_site_fract_y
_atom_site_fract_z
As1 As 0.0000 0.0000 0.0000
W1 W 0.2500 0.2500 0.2500
N1 N 0.0000 0.0000 0.5000
```

Calculated values
For the uncorrected formation energy, the calculation gives 0.85 eV per atom. As for the magnetization: 0.000 μB per atom. The value obtained for the energy relative to the lowest polymorph listed for this composition is 0.4412 eV per atom. The density of states at the Fermi level comes out at 1.569 states/eV per atom. The calculated total energy is -8.867 eV per atom.